# 1
Entry from OQMD: BaLaEr after structural relaxation (GGA-PBE).

Properties
Energy above the lowest structure with this stoichiometry (meV/atom): 0.0
Symmetry: F-43m
Size of the total moment (μB/cell): 0.03

Geometry as CIF:
```
data_BaLaEr
_cell_length_a 5.882
_cell_length_b 5.882
_cell_length_c 5.882
_cell_angle_alpha 60.00
_cell_angle_beta 60.00
_cell_angle_gamma 60.00
_space_group_name_H-M_alt 'P 1'
_space_group_IT_number 1
_space_group_name_Hall 'P 1'
loop_
_atom_site_label
_atom_site_fract_x
_atom_site_fract_y
_atom_site_fract_z
_atom_site_occupancy
La1 0.750 0.750 0.750 1
Er1 0.000 0.000 0.000 1
Ba1 0.250 0.250 0.250 1
```



# 2
Entry from OQMD: TmCdPO after structural relaxation (GGA-PBE).

Properties
Symmetry: Pmc2_1
Size of the total moment (μB/cell): 0.00

Geometry as CIF:
```
data_TmCdPO
_cell_length_a 3.927
_cell_length_b 6.144
_cell_length_c 6.514
_cell_angle_alpha 90.00
_cell_angle_beta 90.00
_cell_angle_gamma 90.00
_space_group_name_H-M_alt 'P 1'
_space_group_IT_number 1
_space_group_name_Hall 'P 1'
loop_
_atom_site_label
_atom_site_fract_x
_atom_site_fract_y
_atom_site_fract_z
_atom_site_occupancy
P1 0.000 0.707 0.329 1
P2 0.000 0.293 0.829 1
Cd1 0.000 0.091 0.468 1
Cd2 0.000 0.909 0.968 1
Tm1 0.500 0.470 0.093 1
Tm2 0.500 0.530 0.593 1
O1 0.500 0.732 0.864 1
O2 0.500 0.268 0.364 1
```



# 3
Entry from OQMD: Mg2ScZn after structural relaxation (GGA-PBE).

Properties
Symmetry: F-43m
Size of the total moment (μB/cell): 0.00

Geometry as CIF:
```
data_Mg2ScZn
_cell_length_a 4.814
_cell_length_b 4.814
_cell_length_c 4.814
_cell_angle_alpha 60.00
_cell_angle_beta 60.00
_cell_angle_gamma 60.00
_space_group_name_H-M_alt 'P 1'
_space_group_IT_number 1
_space_group_name_Hall 'P 1'
loop_
_atom_site_label
_atom_site_fract_x
_atom_site_fract_y
_atom_site_fract_z
_atom_site_occupancy
Zn1 0.500 0.500 0.500 1
Mg1 0.000 0.000 0.000 1
Mg2 0.250 0.250 0.250 1
Sc1 0.750 0.750 0.750 1
```



# 4
Entry from OQMD: BaLiZrAu after structural relaxation (GGA-PBE).

Properties
Energy above the lowest structure with this stoichiometry (meV/atom): 66.0
Symmetry: F-43m
Size of the total moment (μB/cell): 1.33

Geometry as CIF:
```
data_BaLiZrAu
_cell_length_a 5.290
_cell_length_b 5.290
_cell_length_c 5.290
_cell_angle_alpha 60.00
_cell_angle_beta 60.00
_cell_angle_gamma 60.00
_space_group_name_H-M_alt 'P 1'
_space_group_IT_number 1
_space_group_name_Hall 'P 1'
loop_
_atom_site_label
_atom_site_fract_x
_atom_site_fract_y
_atom_site_fract_z
_atom_site_occupancy
Zr1 0.000 0.000 0.000 1
Ba1 0.500 0.500 0.500 1
Au1 0.750 0.750 0.750 1
Li1 0.250 0.250 0.250 1
```



# 5
Entry from OQMD: Rb2Pd after structural relaxation (GGA-PBE).

Properties
Symmetry: Fd-3m

Geometry as CIF:
```
data_Rb2Pd
_cell_length_a 6.717
_cell_length_b 6.717
_cell_length_c 6.717
_cell_angle_alpha 60.00
_cell_angle_beta 60.00
_cell_angle_gamma 60.00
_space_group_name_H-M_alt 'P 1'
_space_group_IT_number 1
_space_group_name_Hall 'P 1'
loop_
_atom_site_label
_atom_site_fract_x
_atom_site_fract_y
_atom_site_fract_z
_atom_site_occupancy
Rb1 0.625 0.625 0.625 1
Rb2 0.125 0.625 0.625 1
Rb3 0.625 0.125 0.625 1
Rb4 0.625 0.625 0.125 1
Pd1 0.000 0.000 0.000 1
Pd2 0.250 0.250 0.250 1
```



# 6
Entry from OQMD: YTmFe2 after structural relaxation (GGA-PBE).

Properties
Energy above the lowest structure with this stoichiometry (meV/atom): 0.0
Symmetry: Pmn2_1
Size of the total moment (μB/cell): 0.01

Geometry as CIF:
```
data_YTmFe2
_cell_length_a 3.809
_cell_length_b 7.699
_cell_length_c 5.471
_cell_angle_alpha 90.00
_cell_angle_beta 90.00
_cell_angle_gamma 90.00
_space_group_name_H-M_alt 'P 1'
_space_group_IT_number 1
_space_group_name_Hall 'P 1'
loop_
_atom_site_label
_atom_site_fract_x
_atom_site_fract_y
_atom_site_fract_z
_atom_site_occupancy
Fe1 0.500 0.729 0.422 1
Fe2 0.000 0.779 0.574 1
Fe3 0.500 0.221 0.074 1
Fe4 0.000 0.271 0.922 1
Y1 0.500 0.575 0.896 1
Y2 0.000 0.425 0.396 1
Tm1 0.000 0.929 0.107 1
Tm2 0.500 0.071 0.607 1
```



# 7
Entry from OQMD: UTaAg after structural relaxation (GGA-PBE).

Properties
Energy above the lowest structure with this stoichiometry (meV/atom): 192.1
Symmetry: F-43m
Size of the total moment (μB/cell): 1.25

Geometry as CIF:
```
data_UTaAg
_cell_length_a 4.640
_cell_length_b 4.640
_cell_length_c 4.640
_cell_angle_alpha 60.00
_cell_angle_beta 60.00
_cell_angle_gamma 60.00
_space_group_name_H-M_alt 'P 1'
_space_group_IT_number 1
_space_group_name_Hall 'P 1'
loop_
_atom_site_label
_atom_site_fract_x
_atom_site_fract_y
_atom_site_fract_z
_atom_site_occupancy
Ag1 0.250 0.250 0.250 1
Ta1 0.750 0.750 0.750 1
U1 0.000 0.000 0.000 1
```



# 8
Entry from OQMD: PrZnGa after structural relaxation (GGA-PBE).

Properties
Symmetry: P6_3/mmc
Size of the total moment (μB/cell): 0.00

Geometry as CIF:
```
data_PrZnGa
_cell_length_a 5.037
_cell_length_b 5.037
_cell_length_c 6.231
_cell_angle_alpha 90.00
_cell_angle_beta 90.00
_cell_angle_gamma 120.00
_space_group_name_H-M_alt 'P 1'
_space_group_IT_number 1
_space_group_name_Hall 'P 1'
loop_
_atom_site_label
_atom_site_fract_x
_atom_site_fract_y
_atom_site_fract_z
_atom_site_occupancy
Pr1 0.333 0.667 0.750 1
Pr2 0.667 0.333 0.250 1
Zn1 0.000 0.000 0.500 1
Zn2 0.000 0.000 0.000 1
Ga1 0.333 0.667 0.250 1
Ga2 0.667 0.333 0.750 1
```



no.,uncorrected energy (eV for the cell shown),calculated volume (Å³/cell)
1,-9.15,143.92
2,-43.49,157.16
3,-11.26,78.90
4,-14.91,104.69
5,-10.07,214.26
6,-55.43,160.43
7,-21.60,70.63
8,-20.44,136.90